A geometry-optimized Na3TcBr structure. Source: Alexandria, functional PBE.

The formation energy (no corrections) comes out at 3.514 eV/f.u. The volume comes out at 40.5 Å³ per atom. The calculation puts the density at 2.03 g/cm³. The value obtained for the energy above the lowest structure with this stoichiometry is 211 meV/atom.

It has space group Pm-3m (No. 221), with a = 5.8711 Å, b = 5.8711 Å, c = 5.8711 Å, α = 90.00°, β = 90.00° and γ = 90.00°. Symmetry generates all atoms from Na at (0.0000, 0.0000, 0.5000), Tc at (0.0000, 0.0000, 0.0000) and Br at (0.5000, 0.5000, 0.5000).

***

A geometry-optimized As2Se2Br structure. Source: Alexandria, functional PBE.

The formation energy (no corrections) comes out at 0.071 eV/f.u. The volume comes out at 29.2 Å³ per atom. The calculation puts the density at 4.41 g/cm³. The value obtained for the energy above the lowest structure with this stoichiometry is 63 meV/atom.

It has space group I4_1md (No. 109), with a = 6.6631 Å, b = 6.6631 Å, c = 13.1566 Å, α = 90.00°, β = 90.00° and γ = 90.00°. Symmetry generates all atoms from As at (0.0000, 0.2575, 0.0000), Se at (0.0000, 0.2449, 0.2141) and Br at (0.0000, 0.0000, 0.5334).

***

A geometry-optimized MgSi3Cl structure. Source: Alexandria, functional PBE.

The formation energy (no corrections) comes out at 4.889 eV/f.u. The volume comes out at 21.8 Å³ per atom. The calculation puts the density at 2.20 g/cm³. The value obtained for the energy above the lowest structure with this stoichiometry is 0 meV/atom.

It has space group Pm-3m (No. 221), with a = 4.7743 Å, b = 4.7743 Å, c = 4.7743 Å, α = 90.00°, β = 90.00° and γ = 90.00°. Symmetry generates all atoms from Mg at (0.0000, 0.0000, 0.0000), Si at (0.0000, 0.5000, 0.5000) and Cl at (0.5000, 0.5000, 0.5000).

***

A geometry-optimized GaAg8 structure. Source: Alexandria, functional PBE.

The volume comes out at 17.8 Å³ per atom. The calculation puts the density at 9.68 g/cm³. The value obtained for the energy above the lowest structure with this stoichiometry is 13 meV/atom. The calculated formation energy comes out at 25 meV/atom.

It has space group I4/mmm (No. 139), with a = 9.7622 Å, b = 9.7622 Å, c = 3.3582 Å, α = 90.00°, β = 90.00° and γ = 90.00°. Symmetry generates all atoms from Ga at (0.0000, 0.0000, 0.0000), Ag at (0.0000, 0.3346, 0.0000) and Ag at (0.1629, 0.1629, 0.5000).